# NiSbMoO6, optimized geometry, DFT PBE with a Hubbard U
# Uncorrected energy = -0.45063 Ry/atom
# DOS at the Fermi energy = 4.06 states/eV/cell
data_NiSbMoO6
_cell_length_a 5.232
_cell_length_b 5.232
_cell_length_c 8.943
_cell_angle_alpha 90.00
_cell_angle_beta 90.00
_cell_angle_gamma 120.00
_space_group_name_H-M_alt 'P 1'
_space_group_IT_number 1
_space_group_name_Hall 'P 1'
loop_
_atom_site_label
_atom_site_type_symbol
_atom_site_fract_x
_atom_site_fract_y
_atom_site_fract_z
_atom_site_occupancy
Ni1 Ni 0.000 0.000 0.000 1
Ni2 Ni 0.000 0.000 0.500 1
Sb1 Sb 0.333 0.667 0.250 1
Sb2 Sb 0.667 0.333 0.750 1
Mo1 Mo 0.333 0.667 0.750 1
Mo2 Mo 0.667 0.333 0.250 1
O1 O 0.003 0.348 0.631 1
O2 O 0.003 0.655 0.869 1
O3 O 0.345 0.348 0.869 1
O4 O 0.345 0.997 0.631 1
O5 O 0.348 0.003 0.131 1
O6 O 0.348 0.345 0.369 1
O7 O 0.652 0.655 0.631 1
O8 O 0.652 0.997 0.869 1
O9 O 0.655 0.003 0.369 1
O10 O 0.655 0.652 0.131 1
O11 O 0.997 0.345 0.131 1
O12 O 0.997 0.652 0.369 1